DFT (PBE) results for crystalline Ca2NbVOs at its relaxed geometry.

Cell and atoms, written as extended XYZ:
```
5
Lattice="5.444 0.000 0.000 0.000 4.368 0.000 0.000 0.000 5.444" Properties=species:S:1:pos:R:3 pbc="T T T"
Ca 0.000 0.000 2.722
Nb 0.000 0.000 0.000
Os 2.722 2.184 2.722
V 0.000 2.184 0.000
Ca 2.722 0.000 0.000
```

formation energy from the elements: 9.2 eV/f.u.

DFT (PBE) results for crystalline CaNb2ZnOs at its relaxed geometry.

Cell and atoms, written as extended XYZ:
```
5
Lattice="-1.789 -0.034 4.454 -3.349 -2.968 -1.368 2.835 -3.710 1.111" Properties=species:S:1:pos:R:3 pbc="T T T"
Zn 0.000 0.000 0.000
Nb -0.895 -0.017 2.227
Os -1.674 -1.484 -0.684
Nb 1.418 -1.855 0.555
Ca -1.151 -3.357 2.098
```

formation energy from the elements: 5.9 eV/f.u.

DFT (PBE) results for crystalline Ca2NbP2 at its relaxed geometry.

Cell and atoms, written as extended XYZ:
```
10
Lattice="6.982 0.000 0.000 0.000 6.982 0.000 0.000 0.000 4.225" Properties=species:S:1:pos:R:3 pbc="T T T"
Ca 4.583 5.891 2.113
P 4.608 1.117 0.000
Ca 1.092 4.583 2.113
Ca 5.891 2.400 2.113
Ca 2.400 1.092 2.113
P 5.865 4.608 0.000
P 2.374 5.865 0.000
P 1.117 2.374 0.000
Nb 0.000 0.000 0.000
Nb 3.491 3.491 0.000
```

formation energy from the elements: -3.7 eV/f.u.

DFT (PBE) results for crystalline Ca2NbP at its relaxed geometry.

Cell and atoms, written as extended XYZ:
```
8
Lattice="10.256 0.000 0.000 0.000 10.256 0.000 5.128 5.128 2.424" Properties=species:S:1:pos:R:3 pbc="T T T"
Nb 0.000 0.000 0.000
Ca 12.820 11.321 1.818
Ca 6.193 2.564 0.606
Ca 7.692 9.191 1.818
P 5.128 10.256 1.212
Nb 10.256 5.128 1.212
P 5.128 5.128 0.000
Ca 4.063 7.692 0.606
```

formation energy from the elements: 0.2 eV/f.u.

DFT (PBE) results for crystalline CaNbP3 at its relaxed geometry.

Cell and atoms, written as extended XYZ:
```
5
Lattice="-0.745 -0.070 -4.827 2.764 -4.011 -0.369 -3.958 -2.787 0.652" Properties=species:S:1:pos:R:3 pbc="T T T"
P 1.382 -2.005 -0.184
Ca 0.000 0.000 0.000
Nb -0.970 -3.434 -2.272
P -0.373 -0.035 -2.413
P -1.979 -1.394 0.326
```

formation energy from the elements: 7.4 eV/f.u.

DFT (PBE) results for crystalline Ca3NbP at its relaxed geometry.

Cell and atoms, written as extended XYZ:
```
5
Lattice="5.379 0.000 0.000 0.000 5.379 0.000 0.000 0.000 5.379" Properties=species:S:1:pos:R:3 pbc="T T T"
Ca 0.000 2.690 0.000
P 2.690 2.690 2.690
Ca 0.000 0.000 2.690
Nb 0.000 0.000 0.000
Ca 2.690 0.000 0.000
```

formation energy from the elements: 5.2 eV/f.u.

DFT (PBE) results for crystalline CaNbP3 at its relaxed geometry.

Cell and atoms, written as extended XYZ:
```
5
Lattice="-4.408 -1.903 -0.696 1.673 -4.358 1.324 -1.144 0.963 4.616" Properties=species:S:1:pos:R:3 pbc="T T T"
Nb 0.000 0.000 0.000
P -0.572 0.481 2.308
P -2.204 -0.952 -0.348
Ca -1.940 -2.649 2.622
P 0.836 -2.179 0.662
```

formation energy from the elements: -1.5 eV/f.u.

DFT (PBE) results for crystalline CaNb2P2 at its relaxed geometry.

Cell and atoms, written as extended XYZ:
```
10
Lattice="7.204 0.000 0.000 0.000 7.204 0.000 0.000 0.000 3.318" Properties=species:S:1:pos:R:3 pbc="T T T"
Nb 4.661 6.145 1.659
Ca 3.602 3.602 0.000
Nb 1.059 4.661 1.659
P 6.207 4.599 0.000
P 0.997 2.605 0.000
Nb 6.145 2.543 1.659
Ca 0.000 0.000 0.000
Nb 2.543 1.059 1.659
P 4.599 0.997 0.000
P 2.605 6.207 0.000
```

formation energy from the elements: -3.1 eV/f.u.

DFT (PBE) results for crystalline CaNbP at its relaxed geometry.

Cell and atoms, written as extended XYZ:
```
18
Lattice="7.106 0.000 0.000 3.553 7.431 0.143 3.553 2.610 6.959" Properties=species:S:1:pos:R:3 pbc="T T T"
Nb 4.593 3.910 2.766
Nb 6.947 5.020 3.551
Nb 8.146 8.931 6.317
P 5.377 6.225 1.847
Ca 6.833 8.279 3.300
P 12.485 8.366 5.918
P 5.379 1.675 1.185
Nb 3.394 0.000 0.000
Nb 1.040 1.110 0.786
Nb 4.593 6.131 4.336
Ca 9.576 3.815 5.256
Ca 6.833 5.869 6.708
P 8.932 3.346 2.367
Ca 9.576 6.226 1.847
P 5.377 3.816 5.256
P 8.932 6.695 4.736
Ca 6.833 4.172 0.395
Ca 6.833 1.762 3.803
```

formation energy from the elements: -1.7 eV/f.u.

DFT (PBE) results for crystalline Ca3NbP at its relaxed geometry.

Cell and atoms, written as extended XYZ:
```
5
Lattice="5.485 0.000 0.000 0.000 5.485 0.000 0.000 0.000 5.485" Properties=species:S:1:pos:R:3 pbc="T T T"
Ca 0.000 0.000 2.743
P 0.000 0.000 0.000
Nb 2.743 2.743 2.743
Ca 2.743 0.000 0.000
Ca 0.000 2.743 0.000
```

formation energy from the elements: 0.9 eV/f.u.

DFT (PBE) results for crystalline Ca2NbPPd at its relaxed geometry.

Cell and atoms, written as extended XYZ:
```
5
Lattice="-0.128 5.117 2.118 -0.634 -1.803 4.318 5.488 -0.167 0.735" Properties=species:S:1:pos:R:3 pbc="T T T"
Ca -0.064 2.559 1.059
Nb 0.000 0.000 0.000
Pd -0.317 -0.902 2.159
P 2.363 1.573 3.586
Ca 2.744 -0.084 0.368
```

formation energy from the elements: 4.7 eV/f.u.

DFT (PBE) results for crystalline CaNb2PPt at its relaxed geometry.

Cell and atoms, written as extended XYZ:
```
5
Lattice="4.716 0.000 0.000 0.000 4.741 0.000 0.000 0.000 4.716" Properties=species:S:1:pos:R:3 pbc="T T T"
P 0.000 2.370 0.000
Nb 2.358 0.000 0.000
Ca 0.000 0.000 0.000
Pt 2.358 2.370 2.358
Nb 0.000 0.000 2.358
```

formation energy from the elements: 9.9 eV/f.u.

DFT (PBE) results for crystalline CaNbP2Ru at its relaxed geometry.

Cell and atoms, written as extended XYZ:
```
5
Lattice="-2.093 2.612 -2.494 -2.771 -3.010 -0.828 -0.373 1.701 5.588" Properties=species:S:1:pos:R:3 pbc="T T T"
Nb -2.788 -0.754 1.550
P -2.115 1.132 2.961
Ru -2.449 2.057 0.717
P -3.122 0.170 -0.694
Ca 0.000 0.000 0.000
```

formation energy from the elements: -3.8 eV/f.u.

DFT (PBE) results for crystalline CaNbP2S at its relaxed geometry.

Cell and atoms, written as extended XYZ:
```
5
Lattice="-3.845 1.289 2.638 -2.924 -2.079 -3.245 0.271 -4.210 2.452" Properties=species:S:1:pos:R:3 pbc="T T T"
P -1.462 -1.039 -1.623
S 0.136 -2.105 1.226
Ca -3.248 -2.500 0.922
P -1.922 0.644 1.319
Nb 0.000 0.000 0.000
```

energy relative to the elements, uncorrected: -0.55 eV/atom

DFT (PBE) results for crystalline CaNbPS2 at its relaxed geometry.

Cell and atoms, written as extended XYZ:
```
5
Lattice="5.004 0.000 0.000 0.000 5.004 0.000 0.000 0.000 5.014" Properties=species:S:1:pos:R:3 pbc="T T T"
Nb 2.502 2.502 2.507
S 0.000 2.502 0.000
Ca 0.000 0.000 0.000
P 0.000 0.000 2.507
S 2.502 0.000 0.000
```

energy relative to the elements, uncorrected: 0.80 eV/atom

DFT (PBE) results for crystalline CaNbPS2 at its relaxed geometry.

Cell and atoms, written as extended XYZ:
```
5
Lattice="-1.430 -1.819 -4.240 -1.118 -4.170 2.166 -4.524 1.640 0.822" Properties=species:S:1:pos:R:3 pbc="T T T"
P -2.262 0.820 0.411
S -0.715 -0.909 -2.120
S -0.559 -2.085 1.083
Ca -3.536 -2.175 -0.626
Nb 0.000 0.000 0.000
```

energy relative to the elements, uncorrected: -0.81 eV/atom

DFT (PBE) results for crystalline CaNbP2S at its relaxed geometry.

Cell and atoms, written as extended XYZ:
```
5
Lattice="4.948 0.000 0.000 0.000 4.948 0.000 0.000 0.000 4.871" Properties=species:S:1:pos:R:3 pbc="T T T"
S 0.000 0.000 2.436
P 0.000 2.474 0.000
Ca 0.000 0.000 0.000
Nb 2.474 2.474 2.436
P 2.474 0.000 0.000
```

energy relative to the elements, uncorrected: 1.21 eV/atom

DFT (PBE) results for crystalline CaNbSbP2 at its relaxed geometry.

Cell and atoms, written as extended XYZ:
```
5
Lattice="4.893 0.000 0.000 0.000 5.544 0.000 0.000 0.000 4.893" Properties=species:S:1:pos:R:3 pbc="T T T"
Nb 2.447 2.772 2.447
P 2.447 0.000 0.000
Ca 0.000 0.000 0.000
P 0.000 0.000 2.447
Sb 0.000 2.772 0.000
```

energy relative to the elements, uncorrected: 1.43 eV/atom

DFT (PBE) results for crystalline CaNbSb2P at its relaxed geometry.

Cell and atoms, written as extended XYZ:
```
5
Lattice="-4.674 0.301 2.328 -1.577 -4.014 -2.648 1.689 -3.171 3.801" Properties=species:S:1:pos:R:3 pbc="T T T"
Ca -0.789 -2.007 -1.324
Nb -2.281 -3.442 1.740
Sb -2.337 0.150 1.164
Sb 0.845 -1.586 1.900
P 0.000 0.000 0.000
```

energy relative to the elements, uncorrected: 0.58 eV/atom

DFT (PBE) results for crystalline CaScNb2P at its relaxed geometry.

Cell and atoms, written as extended XYZ:
```
5
Lattice="-0.166 3.779 -2.754 -0.742 -2.997 -4.069 -4.627 0.268 0.646" Properties=species:S:1:pos:R:3 pbc="T T T"
P -2.767 0.525 -3.088
Sc -0.371 -1.499 -2.034
Nb -2.313 0.134 0.323
Nb -0.083 1.890 -1.377
Ca 0.000 0.000 0.000
```

formation energy from the elements: 10.0 eV/f.u.

DFT (PBE) results for crystalline CaNb2TeP at its relaxed geometry.

Cell and atoms, written as extended XYZ:
```
5
Lattice="-3.777 2.002 -2.653 -0.266 -3.957 -2.608 -3.312 -1.927 3.261" Properties=species:S:1:pos:R:3 pbc="T T T"
Nb -1.888 1.001 -1.327
Te -3.677 -1.941 -1.000
Nb -1.656 -0.963 1.630
Ca 0.000 0.000 0.000
P -0.133 -1.978 -1.304
```

energy relative to the elements, uncorrected: 1.77 eV/atom

DFT (PBE) results for crystalline CaNbPb2 at its relaxed geometry.

Cell and atoms, written as extended XYZ:
```
8
Lattice="4.926 0.000 0.000 0.000 4.926 0.000 2.463 2.463 10.217" Properties=species:S:1:pos:R:3 pbc="T T T"
Pb 0.970 3.695 2.554
Pb 6.158 6.420 7.662
Nb 4.926 2.463 5.108
Ca 2.463 2.463 0.000
Ca 2.463 4.926 5.108
Pb 3.956 1.232 2.554
Nb 0.000 0.000 0.000
Pb 3.695 3.433 7.662
```

formation energy from the elements: 2.0 eV/f.u.

DFT (PBE) results for crystalline Ca3NbPb at its relaxed geometry.

Cell and atoms, written as extended XYZ:
```
5
Lattice="5.925 0.000 0.000 0.000 5.925 0.000 0.000 0.000 5.925" Properties=species:S:1:pos:R:3 pbc="T T T"
Ca 0.000 2.963 0.000
Ca 0.000 0.000 2.963
Ca 2.963 0.000 0.000
Nb 2.963 2.963 2.963
Pb 0.000 0.000 0.000
```

formation energy from the elements: 3.7 eV/f.u.

DFT (PBE) results for crystalline Ca3NbPb at its relaxed geometry.

Cell and atoms, written as extended XYZ:
```
5
Lattice="5.578 0.000 0.000 0.000 5.578 0.000 0.000 0.000 5.578" Properties=species:S:1:pos:R:3 pbc="T T T"
Ca 0.000 0.000 2.789
Nb 0.000 0.000 0.000
Ca 0.000 2.789 0.000
Ca 2.789 0.000 0.000
Pb 2.789 2.789 2.789
```

formation energy from the elements: 3.9 eV/f.u.

DFT (PBE) results for crystalline CaNb2SbPb at its relaxed geometry.

Cell and atoms, written as extended XYZ:
```
5
Lattice="4.979 0.000 0.000 0.000 5.502 0.000 0.000 0.000 4.979" Properties=species:S:1:pos:R:3 pbc="T T T"
Pb 0.000 2.751 0.000
Sb 2.490 2.751 2.490
Nb 2.490 0.000 0.000
Nb 0.000 0.000 2.490
Ca 0.000 0.000 0.000
```

energy relative to the elements, uncorrected: 1.80 eV/atom

DFT (PBE) results for crystalline Ca2NbPbSe at its relaxed geometry.

Cell and atoms, written as extended XYZ:
```
5
Lattice="5.801 0.000 0.000 0.000 5.341 0.000 0.000 0.000 5.801" Properties=species:S:1:pos:R:3 pbc="T T T"
Se 2.901 2.671 2.901
Ca 2.901 0.000 0.000
Nb 0.000 0.000 0.000
Ca 0.000 0.000 2.901
Pb 0.000 2.671 0.000
```

energy relative to the elements, uncorrected: 0.52 eV/atom

DFT (PBE) results for crystalline SrCaNbPb2 at its relaxed geometry.

Cell and atoms, written as extended XYZ:
```
5
Lattice="-1.493 2.469 -4.851 3.824 -3.245 -2.828 -3.946 -3.956 -0.798" Properties=species:S:1:pos:R:3 pbc="T T T"
Sr 1.912 -1.622 -1.414
Ca 0.000 0.000 0.000
Pb -0.746 1.234 -2.426
Pb -1.973 -1.978 -0.399
Nb -0.808 -2.366 -4.239
```

formation energy from the elements: 6.9 eV/f.u.